A relaxed MoPdI2N crystal. Source: Alexandria, functional GGA-PBE.

```
5
Lattice="5.595 0.000 0.000 0.000 5.595 0.000 0.000 0.000 3.802" Properties=species:S:1:pos:R:3 pbc="T T T"
Mo 0.000 0.000 0.000
Pd 2.798 2.798 1.901
I 0.000 2.798 0.000
I 2.798 0.000 0.000
N 0.000 0.000 1.901
```

## Properties
The volume comes out at 23.804 Å³ per atom. The uncorrected formation energy comes out at 0.50 eV per atom. As for the crystal system: tetragonal. The calculation puts the total energy at -24.95 eV per cell. For the magnetic moment, the calculation gives 0.9 Bohr magnetons per cell. As for the symmetry: No. 123. The value obtained for the density of states at the Fermi level is 4.4 states/eV/f.u.